Compound: Mg2FeRu
Source: the Alexandria database
Functional: PBE
Structure: relaxed

a b c (Å): 3.042 3.042 7.087
angles (deg): 90.00 90.00 90.00
Space group P4mm (No. 99)
Inequivalent atoms, fractional coordinates:
1 Mg 0.000 0.000 0.000 (multiplicity 1)
2 Mg 0.500 0.500 0.335 (multiplicity 1)
3 Fe 0.500 0.500 0.759 (multiplicity 1)
4 Ru 0.000 0.000 0.585 (multiplicity 1)

Properties
E above lowest polymorph: 0.0 meV per atom
Energy of formation from the pure elements: 56 meV per atom


Compound: Mg2FeRu
Source: the Alexandria database
Functional: PBE
Structure: relaxed

a b c (Å): 2.822 4.298 5.355
angles (deg): 90.00 102.13 90.00
Space group Pm (No. 6)
Inequivalent atoms, fractional coordinates:
1 Mg 0.000 0.000 0.000 (multiplicity 1)
2 Mg 0.272 0.500 0.700 (multiplicity 1)
3 Fe 0.567 0.000 0.456 (multiplicity 1)
4 Ru 0.683 0.500 0.236 (multiplicity 1)

Properties
E above lowest polymorph: 101.9 meV per atom
Energy of formation from the pure elements: 158 meV per atom


Compound: MgFeSbRu
Source: the Alexandria database
Functional: PBE
Structure: relaxed

a b c (Å): 6.209 6.209 6.209
angles (deg): 90.00 90.00 90.00
Space group F-43m (No. 216)
Inequivalent atoms, fractional coordinates:
1 Mg 0.000 0.000 0.000 (multiplicity 4)
2 Fe 0.250 0.250 0.250 (multiplicity 4)
3 Sb 0.000 0.000 0.500 (multiplicity 4)
4 Ru 0.250 0.250 0.750 (multiplicity 4)

Properties
Formation energy (no corrections): 0.00 eV/atom


Compound: MgFeSiRu
Source: the Alexandria database
Functional: PBE
Structure: relaxed

a b c (Å): 5.898 5.898 5.898
angles (deg): 90.00 90.00 90.00
Space group F-43m (No. 216)
Inequivalent atoms, fractional coordinates:
1 Mg 0.000 0.000 0.000 (multiplicity 4)
2 Fe 0.250 0.250 0.750 (multiplicity 4)
3 Si 0.000 0.000 0.500 (multiplicity 4)
4 Ru 0.250 0.250 0.250 (multiplicity 4)

Properties
Formation energy (no corrections): -0.20 eV/atom


| no. | volume (Å³/f.u.) | spin magnetization (μB/cell) | raw total energy (eV/cell) |
| --- | --- | --- | --- |
| 1 | 65.57 | 2.30 | -20.70 |
| 2 | 63.49 | 3.37 | -20.30 |
| 3 | 59.85 | 2.08 | -93.90 |
| 4 | 51.29 | 5.11 | -102.17 |